# Hg2PBr

A relaxed structure of Hg2PBr (GGA-PBE, the Alexandria database).

## Properties
Formation energy without anion corrections ... 0.235 eV per atom

```
Hg2PBr
1.0
2.153 1.243 6.685
-2.153 1.243 6.685
0.000 -2.486 6.685
Hg P Br
2 1 1
Direct
0.000 0.000 0.000
0.239 0.239 0.239
0.690 0.690 0.690
0.490 0.490 0.490
```



# HoMnFeB2

A relaxed structure of HoMnFeB2 (GGA-PBE, the Alexandria database).

## Properties
Calculated total energy ... -7.52 eV/atom

```
HoMnFeB2
1.0
-1.763 1.763 4.832
1.763 -1.763 4.832
1.763 1.763 -4.832
Ho Mn Fe B
1 1 1 2
Direct
0.000 0.000 0.000
0.250 0.750 0.500
0.750 0.250 0.500
0.365 0.365 0.000
0.635 0.635 0.000
```



# CsCaErBr6

A relaxed structure of CsCaErBr6 (GGA-PBE, the Alexandria database).

## Properties
Formation energy without anion corrections ... -1.950 eV per atom

```
CsCaErBr6
1.0
7.463 0.000 0.000
-3.731 6.463 0.000
0.000 0.000 8.063
Cs Ca Er Br
1 1 1 6
Direct
0.000 0.000 0.000
0.333 0.667 0.500
0.667 0.333 0.500
0.383 0.012 0.703
0.383 0.371 0.297
0.629 0.012 0.297
0.629 0.617 0.703
0.988 0.371 0.703
0.988 0.617 0.297
```



# TbBe4SiPt2

A relaxed structure of TbBe4SiPt2 (GGA-PBE, the Alexandria database).

## Properties
Formation energy without anion corrections ... -0.425 eV per atom

```
TbBe4SiPt2
1.0
1.967 1.135 8.199
-1.967 1.135 8.199
0.000 -2.271 8.199
Tb Be Si Pt
1 4 1 2
Direct
0.000 0.000 0.000
0.124 0.124 0.124
0.409 0.409 0.409
0.591 0.591 0.591
0.876 0.876 0.876
0.500 0.500 0.500
0.238 0.238 0.238
0.762 0.762 0.762
```



# MnW2N

A relaxed structure of MnW2N (GGA-PBE, the Alexandria database).

## Properties
Formation energy without anion corrections ... 0.588 eV per atom

```
MnW2N
1.0
-2.479 2.479 5.015
2.479 -2.479 5.015
2.479 2.479 -5.015
Mn W N
2 4 2
Direct
0.000 0.000 0.000
0.750 0.250 0.500
0.188 0.625 0.063
0.375 0.438 0.563
0.562 0.125 0.937
0.875 0.812 0.437
0.250 0.750 0.500
0.500 0.500 0.000
```



# TiOs2N

A relaxed structure of TiOs2N (GGA-PBE, the Alexandria database).

## Properties
Formation energy without anion corrections ... 1.029 eV per atom

```
TiOs2N
1.0
0.000 2.970 2.970
2.970 0.000 2.970
2.970 2.970 0.000
Ti Os N
1 2 1
Direct
0.000 0.000 0.000
0.250 0.250 0.250
0.750 0.750 0.750
0.500 0.500 0.500
```



# NaAcNd2Hg4

A relaxed structure of NaAcNd2Hg4 (GGA-PBE, the Alexandria database).

## Properties
Calculated total energy ... -2.43 eV/atom

```
NaAcNd2Hg4
1.0
2.695 1.556 9.160
-2.695 1.556 9.160
0.000 -3.112 9.160
Na Ac Nd Hg
1 1 2 4
Direct
0.000 0.000 0.000
0.500 0.500 0.500
0.257 0.257 0.257
0.743 0.743 0.743
0.118 0.118 0.118
0.373 0.373 0.373
0.627 0.627 0.627
0.882 0.882 0.882
```



# KLaY2

A relaxed structure of KLaY2 (GGA-PBE, the Alexandria database).

## Properties
Calculated total energy ... -4.50 eV/atom

```
KLaY2
1.0
2.025 -2.971 0.000
2.025 2.971 0.000
0.000 0.000 13.038
K La Y
1 1 2
Direct
0.000 0.000 0.000
0.500 0.500 0.291
0.000 0.000 0.511
0.500 0.500 0.720
```



# Nb2SnAs

A relaxed structure of Nb2SnAs (GGA-PBE, the Alexandria database).

## Properties
Calculated total energy ... -7.01 eV/atom

```
Nb2SnAs
1.0
1.653 0.954 9.044
-1.653 0.954 9.044
0.000 -1.908 9.044
Nb Sn As
2 1 1
Direct
0.101 0.101 0.101
0.899 0.899 0.899
0.000 0.000 0.000
0.500 0.500 0.500
```



# HfTeSeN2

A relaxed structure of HfTeSeN2 (GGA-PBE, the Alexandria database).

## Properties
Formation energy without anion corrections ... 1.125 eV per atom

```
HfTeSeN2
1.0
4.075 0.000 0.000
0.000 4.075 0.000
0.000 0.000 5.200
Hf Te Se N
1 1 1 2
Direct
0.000 0.000 0.000
0.500 0.500 0.500
0.500 0.500 0.000
0.000 0.500 0.500
0.500 0.000 0.500
```



# Ca3SnTe4

A relaxed structure of Ca3SnTe4 (GGA-PBE, the Alexandria database).

## Properties
Formation energy without anion corrections ... -1.184 eV per atom

```
Ca3SnTe4
1.0
6.349 0.000 0.000
0.000 10.849 0.000
0.000 0.000 9.407
Ca Sn Te
6 2 8
Direct
0.250 0.000 0.167
0.250 0.250 0.664
0.250 0.500 0.167
0.750 0.000 0.833
0.750 0.500 0.833
0.750 0.750 0.336
0.250 0.750 0.668
0.750 0.250 0.332
0.250 0.002 0.834
0.250 0.250 0.332
0.250 0.498 0.834
0.250 0.750 0.333
0.750 0.250 0.667
0.750 0.502 0.166
0.750 0.750 0.668
0.750 0.998 0.166
```



# SrZnMo2

A relaxed structure of SrZnMo2 (GGA-PBE, the Alexandria database).

## Properties
Calculated total energy ... -5.35 eV/atom

```
SrZnMo2
1.0
2.982 0.000 0.000
0.000 5.236 0.000
-0.408 0.000 5.079
Sr Zn Mo
1 1 2
Direct
0.000 0.000 0.000
0.500 0.000 0.500
0.378 0.500 0.749
0.622 0.500 0.251
```



# NdTaC2

A relaxed structure of NdTaC2 (GGA-PBE, the Alexandria database).

## Properties
Calculated total energy ... -9.02 eV/atom

```
NdTaC2
1.0
1.681 0.971 5.806
-1.681 0.971 5.806
0.000 -1.942 5.806
Nd Ta C
1 1 2
Direct
0.000 0.000 0.000
0.500 0.500 0.500
0.235 0.235 0.235
0.765 0.765 0.765
```



# Np2Ge3SbPt4

A relaxed structure of Np2Ge3SbPt4 (GGA-PBE, the Alexandria database).

## Properties
Formation energy without anion corrections ... -0.473 eV per atom

```
Np2Ge3SbPt4
1.0
4.277 0.000 0.000
0.000 4.277 0.000
0.000 0.000 10.863
Np Ge Sb Pt
2 3 1 4
Direct
0.000 0.500 0.235
0.500 0.000 0.765
0.000 0.500 0.871
0.500 0.000 0.129
0.500 0.500 0.500
0.000 0.000 0.500
0.000 0.000 0.000
0.000 0.500 0.648
0.500 0.000 0.352
0.500 0.500 0.000
```



# BeRhBr

A relaxed structure of BeRhBr (GGA-PBE, the Alexandria database).

## Properties
Formation energy without anion corrections ... -0.114 eV per atom

```
BeRhBr
1.0
3.468 0.000 0.000
-0.133 4.934 0.000
-0.373 -1.161 7.223
Be Rh Br
2 2 2
Direct
0.000 0.000 0.000
0.016 0.618 0.131
0.479 0.348 0.025
0.530 0.914 0.189
0.172 0.089 0.731
0.658 0.494 0.367
```



# Sr2LaNbZn

A relaxed structure of Sr2LaNbZn (GGA-PBE, the Alexandria database).

## Properties
Calculated total energy ... -3.08 eV/atom

```
Sr2LaNbZn
1.0
5.730 0.000 0.000
0.000 5.730 0.000
0.000 0.000 5.291
Sr La Nb Zn
2 1 1 1
Direct
0.000 0.500 0.000
0.500 0.000 0.000
0.000 0.000 0.500
0.500 0.500 0.000
0.500 0.500 0.500
```



# Mg2Pd5Pt5

A relaxed structure of Mg2Pd5Pt5 (GGA-PBE, the Alexandria database).

## Properties
Calculated total energy ... -5.29 eV/atom

```
Mg2Pd5Pt5
1.0
5.932 -1.990 0.000
5.932 1.990 0.000
-3.900 0.000 7.902
Mg Pd Pt
2 5 5
Direct
0.158 0.158 0.000
0.842 0.842 0.000
0.000 0.000 0.500
0.083 0.083 0.251
0.249 0.249 0.756
0.751 0.751 0.244
0.917 0.917 0.749
0.333 0.333 0.500
0.413 0.413 0.245
0.500 0.500 0.000
0.587 0.587 0.755
0.667 0.667 0.500
```



# TlHg2Pd2

A relaxed structure of TlHg2Pd2 (GGA-PBE, the Alexandria database).

## Properties
Calculated total energy ... -2.64 eV/atom

```
TlHg2Pd2
1.0
-2.022 2.022 6.697
2.022 -2.022 6.697
2.022 2.022 -6.697
Tl Hg Pd
1 2 2
Direct
0.000 0.000 0.000
0.250 0.750 0.500
0.750 0.250 0.500
0.401 0.401 0.000
0.599 0.599 0.000
```



# RbCrTeSe

A relaxed structure of RbCrTeSe (GGA-PBE, the Alexandria database).

## Properties
Formation energy without anion corrections ... -0.449 eV per atom

```
RbCrTeSe
1.0
3.922 0.000 0.000
-1.961 3.396 0.000
0.000 0.000 8.506
Rb Cr Te Se
1 1 1 1
Direct
0.000 0.000 0.000
0.333 0.667 0.459
0.667 0.333 0.656
0.667 0.333 0.291
```



# AlHIrRu2

A relaxed structure of AlHIrRu2 (GGA-PBE, the Alexandria database).

## Properties
Calculated total energy ... -7.01 eV/atom

```
AlHIrRu2
1.0
3.866 0.000 0.000
0.000 3.866 0.000
0.000 0.000 3.962
Al H Ir Ru
1 1 1 2
Direct
0.000 0.000 0.000
0.500 0.500 0.500
0.500 0.500 0.000
0.000 0.500 0.500
0.500 0.000 0.500
```



# LaYCd

A relaxed structure of LaYCd (GGA-PBE, the Alexandria database).

## Properties
Calculated total energy ... -4.25 eV/atom

```
LaYCd
1.0
0.000 5.179 6.135
2.934 0.000 6.135
2.934 5.179 0.000
La Y Cd
2 2 2
Direct
0.166 0.834 0.166
0.834 0.166 0.834
0.360 0.360 0.640
0.640 0.640 0.360
0.250 0.250 0.250
0.750 0.750 0.750
```



# CoP2Rh

A relaxed structure of CoP2Rh (GGA-PBE, the Alexandria database).

## Properties
Calculated total energy ... -6.68 eV/atom

```
CoP2Rh
1.0
3.016 0.000 0.000
0.000 4.321 0.000
0.000 0.000 3.902
Co P Rh
1 2 1
Direct
0.000 0.000 0.000
0.000 0.500 0.811
0.500 0.000 0.570
0.500 0.500 0.322
```



# Ce2AlAg2

A relaxed structure of Ce2AlAg2 (GGA-PBE, the Alexandria database).

## Properties
Calculated total energy ... -4.51 eV/atom

```
Ce2AlAg2
1.0
2.402 -7.081 0.000
2.402 7.081 0.000
0.000 0.000 3.261
Ce Al Ag
2 1 2
Direct
0.099 0.901 0.000
0.901 0.099 0.000
0.500 0.500 0.500
0.303 0.697 0.500
0.697 0.303 0.500
```



# MgGaPt2

A relaxed structure of MgGaPt2 (GGA-PBE, the Alexandria database).

## Properties
Calculated total energy ... -4.96 eV/atom

```
MgGaPt2
1.0
4.099 0.000 0.000
0.000 4.099 0.000
0.000 0.000 3.656
Mg Ga Pt
1 1 2
Direct
0.000 0.000 0.000
0.500 0.500 0.000
0.000 0.500 0.500
0.500 0.000 0.500
```



# CoCl

A relaxed structure of CoCl (GGA-PBE, the Alexandria database).

## Properties
Formation energy without anion corrections ... 0.013 eV per atom

```
CoCl
1.0
2.096 -2.645 0.000
2.096 2.645 0.000
0.000 0.000 7.051
Co Cl
2 2
Direct
0.250 0.750 0.934
0.750 0.250 0.066
0.250 0.750 0.255
0.750 0.250 0.745
```



# FeRu2Se

A relaxed structure of FeRu2Se (GGA-PBE, the Alexandria database).

## Properties
Formation energy without anion corrections ... 0.274 eV per atom

```
FeRu2Se
1.0
3.866 0.000 0.000
0.000 1.415 5.178
0.000 -1.415 5.178
Fe Ru Se
1 2 1
Direct
0.000 0.000 0.000
0.000 0.251 0.251
0.500 0.633 0.633
0.500 0.402 0.402
```



# MgBiAu

A relaxed structure of MgBiAu (GGA-PBE, the Alexandria database).

## Properties
Calculated total energy ... -3.16 eV/atom

```
MgBiAu
1.0
3.502 0.000 0.000
1.747 4.804 0.000
0.009 1.527 8.649
Mg Bi Au
2 2 2
Direct
0.099 0.302 0.171
0.901 0.698 0.829
0.151 0.198 0.638
0.849 0.802 0.362
0.372 0.756 0.075
0.628 0.244 0.925
```